(1)
Y3Si3Pt | PBE-GGA | optimized geometry

Cell: 4.2741 5.6500 13.0359 Å, 84.62 80.56 67.78°
Closest atoms and distances in Å follow each position.
Fractional coordinates of all 14 atoms:
Y: 0.5302 0.3158 0.6237  6 Si 2.96-3.17, 4 Pt 3.02-3.19
Y: 0.4698 0.6842 0.3763  6 Si 2.96-3.17, 4 Pt 3.02-3.19
Y: 0.2551 0.2649 0.2249  6 Si 2.96-3.05, 2 Pt 3.14
Y: 0.7449 0.7351 0.7751  6 Si 2.96-3.05, 2 Pt 3.14
Y: 0.3964 0.2835 0.9238  7 Si 2.95-3.11
Y: 0.6036 0.7165 0.0762  7 Si 2.95-3.11
Si: 0.8700 0.7198 0.5402  3 Pt 2.48-2.72, 1 Si 2.55
Si: 0.1300 0.2802 0.4598  3 Pt 2.48-2.72, 1 Si 2.55
Si: 0.1118 0.8508 0.9257  2 Si 2.50-2.51
Si: 0.8882 0.1492 0.0743  2 Si 2.50-2.51
Si: 0.9614 0.8481 0.2292  1 Si 2.50, 1 Pt 2.55
Si: 0.0386 0.1519 0.7708  1 Si 2.50, 1 Pt 2.55
Pt: 0.7498 0.1068 0.3936  4 Si 2.48-2.72
Pt: 0.2502 0.8932 0.6064  4 Si 2.48-2.72

Raw formation energy   -7.0 eV per formula unit
Fermi-level density of states   8.9 states/eV per cell
SG   C2/m (12)



(2)
YSi4Pt12 | PBE-GGA | optimized geometry

Cell: 7.2742 7.2742 7.2742 Å, 109.47 109.47 109.47°
Closest atoms and distances in Å follow each position.
Fractional coordinates of all 17 atoms:
Y: 0.0000 0.0000 0.0000  12 Pt 3.16
Si: 0.0000 0.5000 0.0000  6 Pt 2.35
Si: 0.5000 0.0000 0.0000  6 Pt 2.35
Si: 0.5000 0.5000 0.5000  6 Pt 2.35
Si: 0.0000 0.0000 0.5000  6 Pt 2.35
Pt: 0.8385 0.3397 0.1783  2 Si 2.35
Pt: 0.3397 0.5012 0.1615  2 Si 2.35
Pt: 0.8217 0.1615 0.6603  2 Si 2.35
Pt: 0.3397 0.1783 0.8385  2 Si 2.35
Pt: 0.1783 0.8385 0.3397  2 Si 2.35
Pt: 0.6603 0.4988 0.8385  2 Si 2.35
Pt: 0.5012 0.1615 0.3397  2 Si 2.35
Pt: 0.4988 0.8385 0.6603  2 Si 2.35
Pt: 0.6603 0.8217 0.1615  2 Si 2.35
Pt: 0.8385 0.6603 0.4988  2 Si 2.35
Pt: 0.1615 0.3397 0.5012  2 Si 2.35
Pt: 0.1615 0.6603 0.8217  2 Si 2.35

Raw formation energy   -8.1 eV per formula unit
Fermi-level density of states   4.1 states/eV per cell
SG   Im-3 (204)



(3)
Y3ZnSi2Pt9 | PBE-GGA | optimized geometry

Cell: 5.6647 5.6647 10.7526 Å, 90.00 90.00 120.00°
Closest atoms and distances in Å follow each position.
Fractional coordinates of all 15 atoms:
Y: 0.3333 0.6667 0.5826  9 Pt 3.03-3.30, 3 Zn 3.39
Y: 0.0000 0.0000 0.0000  6 Pt 2.83
Y: 0.6667 0.3333 0.4174  9 Pt 3.03-3.30, 3 Zn 3.39
Zn: 0.0000 0.0000 0.5000  6 Pt 2.53
Si: 0.3333 0.6667 0.1634  6 Pt 2.35-2.40
Si: 0.6667 0.3333 0.8366  6 Pt 2.35-2.40
Pt: 0.8367 0.1633 0.6822  1 Si 2.35, 1 Zn 2.53
Pt: 0.8367 0.6733 0.6822  1 Si 2.35, 1 Zn 2.53
Pt: 0.3267 0.1633 0.6822  1 Si 2.35, 1 Zn 2.53
Pt: 0.6733 0.8367 0.3178  1 Si 2.35, 1 Zn 2.53
Pt: 0.1633 0.3267 0.3178  1 Si 2.35, 1 Zn 2.53
Pt: 0.1633 0.8367 0.3178  1 Si 2.35, 1 Zn 2.53
Pt: 0.5000 0.0000 0.0000  2 Si 2.40
Pt: 0.0000 0.5000 0.0000  2 Si 2.40
Pt: 0.5000 0.5000 0.0000  2 Si 2.40

Raw formation energy   -12.5 eV per formula unit
Fermi-level density of states   5.9 states/eV per cell
SG   P-3m1 (164)



(4)
Y2ZnSi4Pt3 | PBE-GGA | optimized geometry

Cell: 4.1374 4.1374 10.1684 Å, 90.00 90.00 90.00°
Closest atoms and distances in Å follow each position.
Fractional coordinates of all 10 atoms:
Y: 0.5000 0.0000 0.2512  8 Si 3.13-3.29, 6 Pt 3.20-3.27, 2 Zn 3.27
Y: 0.0000 0.5000 0.7488  8 Si 3.13-3.29, 6 Pt 3.20-3.27, 2 Zn 3.27
Zn: 0.5000 0.5000 0.5000  4 Si 2.51
Si: 0.5000 0.5000 0.0000  4 Pt 2.42
Si: 0.0000 0.0000 0.0000  4 Pt 2.42
Si: 0.5000 0.0000 0.6402  3 Pt 2.39-2.51, 2 Zn 2.51
Si: 0.0000 0.5000 0.3598  3 Pt 2.39-2.51, 2 Zn 2.51
Pt: 0.0000 0.0000 0.5000  4 Si 2.51
Pt: 0.5000 0.0000 0.8757  5 Si 2.39-2.42
Pt: 0.0000 0.5000 0.1243  5 Si 2.39-2.42

Raw formation energy   -9.7 eV per formula unit
Fermi-level density of states   3.8 states/eV per cell
SG   P-4m2 (115)



(5)
YZnSi2Pt5 | PBE-GGA | optimized geometry

Cell: 4.0368 4.0368 10.4913 Å, 90.00 90.00 90.00°
Closest atoms and distances in Å follow each position.
Fractional coordinates of all 9 atoms:
Y: 0.0000 0.0000 0.5000  4 Pt 2.85
Zn: 0.0000 0.0000 0.0000  8 Pt 2.62
Si: 0.5000 0.5000 0.2766  5 Pt 2.34-2.37
Si: 0.5000 0.5000 0.7234  5 Pt 2.34-2.37
Pt: 0.0000 0.5000 0.1586  2 Si 2.37, 2 Zn 2.62
Pt: 0.5000 0.0000 0.1586  2 Si 2.37, 2 Zn 2.62
Pt: 0.0000 0.5000 0.8414  2 Si 2.37, 2 Zn 2.62
Pt: 0.5000 0.0000 0.8414  2 Si 2.37, 2 Zn 2.62
Pt: 0.5000 0.5000 0.5000  2 Si 2.34

Raw formation energy   -6.4 eV per formula unit
Fermi-level density of states   1.1 states/eV per cell
SG   P4/mmm (123)



(6)
YZnSi2Pt2 | PBE-GGA | optimized geometry

Cell: 4.2108 4.2108 6.7204 Å, 90.00 90.00 120.00°
Closest atoms and distances in Å follow each position.
Fractional coordinates of all 6 atoms:
Y: 0.0000 0.0000 0.0000  6 Si 3.09, 6 Pt 3.20, 2 Zn 3.36
Zn: 0.0000 0.0000 0.5000  6 Pt 2.75, 6 Si 2.83
Si: 0.6667 0.3333 0.2832  3 Pt 2.44
Si: 0.3333 0.6667 0.7168  3 Pt 2.44
Pt: 0.6667 0.3333 0.6899  3 Si 2.44
Pt: 0.3333 0.6667 0.3101  3 Si 2.44

Raw formation energy   -4.9 eV per formula unit
Fermi-level density of states   2.5 states/eV per cell
SG   P-3m1 (164)



(7)
Y2ZnSiPt6 | PBE-GGA | optimized geometry

Cell: 6.5505 6.5505 6.5505 Å, 60.00 60.00 90.00°
Closest atoms and distances in Å follow each position.
Fractional coordinates of all 10 atoms:
Y: 0.2500 0.7500 0.5000  12 Pt 3.28
Y: 0.7500 0.2500 0.5000  12 Pt 3.28
Zn: 0.5000 0.5000 0.0000  6 Pt 2.37
Si: 0.0000 0.0000 0.0000  6 Pt 2.26
Pt: 0.2437 0.7563 0.0000  1 Si 2.26, 1 Zn 2.37
Pt: 0.7562 0.7562 0.0000  1 Si 2.26, 1 Zn 2.37
Pt: 0.2438 0.2438 0.5125  1 Si 2.26, 1 Zn 2.37
Pt: 0.7563 0.2437 0.0000  1 Si 2.26, 1 Zn 2.37
Pt: 0.2438 0.2438 0.0000  1 Si 2.26, 1 Zn 2.37
Pt: 0.7562 0.7562 0.4875  1 Si 2.26, 1 Zn 2.37

Raw formation energy   -5.1 eV per formula unit
Fermi-level density of states   4.6 states/eV per cell
SG   Fm-3m (225)



(8)
Y2ZrSi4Pt3 | PBE-GGA | optimized geometry

Cell: 4.1768 4.1768 10.5700 Å, 90.00 90.00 90.00°
Closest atoms and distances in Å follow each position.
Fractional coordinates of all 10 atoms:
Y: 0.5000 0.0000 0.2363  8 Si 3.17-3.26, 6 Pt 3.21-3.48, 2 Zr 3.48
Y: 0.0000 0.5000 0.7637  8 Si 3.17-3.26, 6 Pt 3.21-3.48, 2 Zr 3.48
Zr: 0.5000 0.5000 0.5000  4 Si 2.65, 4 Pt 2.95
Si: 0.5000 0.5000 0.0000  4 Pt 2.43
Si: 0.0000 0.0000 0.0000  4 Pt 2.43
Si: 0.5000 0.0000 0.6546  3 Pt 2.41-2.65, 2 Zr 2.65
Si: 0.0000 0.5000 0.3454  3 Pt 2.41-2.65, 2 Zr 2.65
Pt: 0.0000 0.0000 0.5000  4 Si 2.65, 4 Zr 2.95
Pt: 0.5000 0.0000 0.8830  5 Si 2.41-2.43
Pt: 0.0000 0.5000 0.1170  5 Si 2.41-2.43

Raw formation energy   -10.1 eV per formula unit
Fermi-level density of states   4.1 states/eV per cell
SG   P-4m2 (115)



(9)
YbSi2Pt2 | PBE-GGA | optimized geometry

Cell: 5.7808 5.7808 5.7808 Å, 137.44 137.44 61.77°
Closest atoms and distances in Å follow each position.
Fractional coordinates of all 5 atoms:
Yb: 0.0000 0.0000 0.0000  8 Si 3.20, 8 Pt 3.25
Si: 0.6197 0.6197 0.0000  1 Si 2.38, 4 Pt 2.46
Si: 0.3803 0.3803 0.0000  1 Si 2.38, 4 Pt 2.46
Pt: 0.7500 0.2500 0.5000  4 Si 2.46
Pt: 0.2500 0.7500 0.5000  4 Si 2.46

Raw formation energy   -4.8 eV per formula unit
Fermi-level density of states   14.9 states/eV per cell
SG   I4/mmm (139)



(10)
Zn2SiPt | PBE-GGA | optimized geometry

Cell: 4.4912 4.4912 4.5778 Å, 81.19 81.19 41.24°
Closest atoms and distances in Å follow each position.
Fractional coordinates of all 4 atoms:
Pt: 0.5067 0.5067 0.4739  3 Si 2.54-2.57, 7 Zn 2.64-2.81
Si: 0.2369 0.2369 0.2807  3 Pt 2.54-2.57, 5 Zn 2.57-2.84
Zn: 0.0020 0.0020 0.9837  3 Zn 2.46-2.71, 1 Si 2.57, 2 Pt 2.75
Zn: 0.7544 0.7544 0.7616  3 Zn 2.46-2.71, 1 Pt 2.64, 2 Si 2.73

Raw formation energy   -0.8 eV per formula unit
Fermi-level density of states   1.5 states/eV per cell
SG   Cm (8)



(11)
ZnSi2Pt | PBE-GGA | optimized geometry

Cell: 7.6537 7.6537 7.6537 Å, 23.60 23.60 23.60°
Closest atoms and distances in Å follow each position.
Fractional coordinates of all 4 atoms:
Pt: 0.7500 0.7500 0.7500  6 Si 2.52
Si: 0.0045 0.0045 0.0045  3 Pt 2.52, 3 Zn 2.67
Si: 0.4955 0.4955 0.4955  3 Pt 2.52, 3 Zn 2.67
Zn: 0.2500 0.2500 0.2500  6 Si 2.67

Raw formation energy   -0.3 eV per formula unit
Fermi-level density of states   1.4 states/eV per cell
SG   R-3m (166)